This record from Alexandria via LeMat-Bulk describes a PBEsol-optimized structure of LiIr2Pb2. The functional is SCAN.

Values from the calculation:
Crystal system: tetragonal
Space-group type: I4/mmm (139)

Lattice parameters (Å, degrees): 4.720 4.720 6.092 112.79 112.79 90.00
Sites, in units of the cell vectors:
Ir 0.383 0.383 0.766
Ir 0.617 0.617 0.234
Pb 0.750 0.250 0.500
Pb 0.250 0.750 0.500
Li 0.000 0.000 0.000

This record from Alexandria via LeMat-Bulk describes a PBEsol-optimized structure of Li2IrPb. The functional is SCAN.

Values from the calculation:
Crystal system: tetragonal
Space-group type: I4/mmm (139)

Lattice parameters (Å, degrees): 3.918 3.918 4.991 113.11 113.11 90.00
Sites, in units of the cell vectors:
Pb 0.000 0.000 0.000
Li 0.750 0.250 0.500
Li 0.250 0.750 0.500
Ir 0.500 0.500 0.000

This record from Alexandria via LeMat-Bulk describes a PBEsol-optimized structure of LiIr3Pd. The functional is SCAN.

Values from the calculation:
Crystal system: cubic
Space-group type: Pm-3m (221)

Lattice parameters (Å, degrees): 4.066 4.066 4.066 90.00 90.00 90.00
Sites, in units of the cell vectors:
Ir 0.500 0.000 0.000
Ir 0.000 0.000 0.500
Ir 0.000 0.500 0.000
Pd 0.500 0.500 0.500
Li 0.000 0.000 0.000

| no. | calculated total energy (eV per atom) |
| --- | --- |
| 1 | -58.97 |
| 2 | -38.07 |
| 3 | -48.69 |